1.
Here is an optimized crystal structure of CaSiIr2 from Alexandria via LeMat-Bulk. Energies are from GGA-PBE.

Unit cell a=2.959 b=2.975 c=7.372 alpha=90.00 beta=90.00 gamma=90.00
Space group Pmmm (No. 47)
Symmetry-distinct sites (fractional):
Ca  0.000  0.000  0.000 x1
Si  0.000  0.000  0.500 x1
Ir  0.500  0.500  0.307 x2

Results
* total magnetization: 0.00 μB per cell
* E: -27.063 eV/cell
* calculated volume: 16.22 Å³ per atom

---

2.
Here is an optimized crystal structure of Ca2Si6Ir9 from Alexandria via LeMat-Bulk. Energies are from GGA-PBE.

Unit cell a=5.6172 b=5.6172 c=10.8653 alpha=90.00 beta=90.00 gamma=120.00
Space group P6/mmm (No. 191)
Symmetry-distinct sites (fractional):
Ca  0.0000  0.0000  0.1869 x2
Si  0.3333  0.6667  0.1662 x4
Si  0.3333  0.6667  0.5000 x2
Ir  0.0000  0.5000  0.0000 x3
Ir  0.0000  0.5000  0.3331 x6

Results
* total magnetization: 0.00 μB per cell
* E: -125.861 eV/cell
* calculated volume: 17.46 Å³ per atom